This record from Alexandria describes a relaxed ReBC3 crystal. The functional is GGA-PBE.

```
ReBC3
1.0
-3.1805 1.8880 1.5996
-1.2823 -3.4854 1.5641
2.1163 0.7254 3.3516
Re C B
1 3 1
Direct
0.0000 0.0000 0.0000
0.0000 0.5000 0.0000
0.0000 0.0000 0.5000
0.5000 0.0000 0.0000
0.5000 0.5000 0.5000
```

The calculation puts the volume at 65.44 Å³ per cell. As for the energy relative to the elements: 2592 meV per atom. The final energy comes out at -6.768 eV/atom.